# 1
VASP calculation (GGA-PBE) on crystalline PrHo7Cd4 at its relaxed geometry.

Lattice parameters (Å, degrees): 7.8780 7.8780 9.7058 119.61 119.61 42.52
Element x y z (fractional)
Pr: 0.0000 0.0000 0.0000
Ho: 0.0715 0.0715 0.4139
Ho: 0.2058 0.2058 0.8798
Ho: 0.2640 0.2640 0.3087
Ho: 0.5000 0.5000 0.0000
Ho: 0.7360 0.7360 0.6913
Ho: 0.7942 0.7942 0.1202
Ho: 0.9285 0.9285 0.5861
Cd: 0.3177 0.3177 0.6597
Cd: 0.4589 0.4589 0.2881
Cd: 0.5411 0.5411 0.7119
Cd: 0.6823 0.6823 0.3403

density of states at the Fermi level = 1.166 states/eV/atom
V = 28.768 Å³ per atom
magnetization = 0.0 μB per cell
total energy = -3.363 eV per atom
SG = C2/m (12)
energy of formation = 0.2 kcal/mol of atoms

---

# 2
VASP calculation (GGA-PBE) on crystalline AlAgBr2 at its relaxed geometry.

Lattice parameters (Å, degrees): 6.9721 6.9721 11.9793 90.00 90.00 90.00
Element x y z (fractional)
Al: 0.0000 0.0000 0.0000
Al: 0.0000 0.5000 0.2500
Al: 0.5000 0.0000 0.7500
Al: 0.5000 0.5000 0.5000
Ag: 0.0000 0.0000 0.5000
Ag: 0.0000 0.5000 0.7500
Ag: 0.5000 0.0000 0.2500
Ag: 0.5000 0.5000 0.0000
Br: 0.2131 0.2500 0.6250
Br: 0.2500 0.7131 0.8750
Br: 0.2500 0.7869 0.3750
Br: 0.2869 0.2500 0.1250
Br: 0.7131 0.7500 0.1250
Br: 0.7500 0.2131 0.3750
Br: 0.7500 0.2869 0.8750
Br: 0.7869 0.7500 0.6250

E_form (uncorrected) = -69 kJ/mol of formula units
density of states at the Fermi level = 0.000 states/eV/atom
V = 36.395 Å³ per atom
magnetization = 0.0 μB per cell
total energy = -2.663 eV per atom
offset from the most stable computed form = 304 meV/atom
SG = I-42d (122)

---

# 3
VASP calculation (GGA-PBE) on crystalline ZrAlIn3 at its relaxed geometry.

Lattice parameters (Å, degrees): 5.1438 5.1438 5.1438 90.00 90.00 90.00
Element x y z (fractional)
Zr: 0.0000 0.0000 0.0000
Al: 0.5000 0.5000 0.5000
In: 0.0000 0.5000 0.5000
In: 0.5000 0.0000 0.5000
In: 0.5000 0.5000 0.0000

density of states at the Fermi level = 1.115 states/eV/atom
V = 27.220 Å³ per atom
magnetization = 0.0 μB per cell
total energy = -3.430 eV per atom
offset from the most stable computed form = 0 meV/atom
SG = Pm-3m (221)
energy of formation = 15.5 kcal/mol of atoms

---

# 4
VASP calculation (GGA-PBE) on crystalline MoWAu2 at its relaxed geometry.

Lattice parameters (Å, degrees): 2.8390 2.8390 29.1939 90.00 90.00 120.00
Element x y z (fractional)
Mo: 0.0000 0.0000 0.0000
Mo: 0.3333 0.6667 0.6667
Mo: 0.6667 0.3333 0.3333
W: 0.0000 0.0000 0.2511
W: 0.3333 0.6667 0.9178
W: 0.6667 0.3333 0.5844
Au: 0.0000 0.0000 0.5023
Au: 0.0000 0.0000 0.7488
Au: 0.3333 0.6667 0.1690
Au: 0.3333 0.6667 0.4155
Au: 0.6667 0.3333 0.0822
Au: 0.6667 0.3333 0.8356

density of states at the Fermi level = 1.022 states/eV/atom
V = 16.981 Å³ per atom
magnetization = 0.0 μB per cell
total energy = -7.259 eV per atom
offset from the most stable computed form = 121 meV/atom
SG = R3m (160)
energy of formation = 7.5 kcal/mol of atoms

---

# 5
VASP calculation (GGA-PBE) on crystalline ClF at its relaxed geometry.

Lattice parameters (Å, degrees): 7.3505 7.3505 3.7531 90.00 90.00 90.00
Element x y z (fractional)
Cl: 0.2007 0.2007 0.0000
Cl: 0.2993 0.7007 0.5000
Cl: 0.7007 0.2993 0.5000
Cl: 0.7993 0.7993 0.0000
F: 0.1586 0.1586 0.5000
F: 0.3414 0.6586 0.0000
F: 0.6586 0.3414 0.0000
F: 0.8414 0.8414 0.5000

E_form (uncorrected) = -25 kJ/mol of formula units
density of states at the Fermi level = 0.070 states/eV/atom
V = 25.347 Å³ per atom
magnetization = 0.0 μB per cell
total energy = -1.990 eV per atom
offset from the most stable computed form = 278 meV/atom
SG = P4_2/mnm (136)

---

# 6
VASP calculation (GGA-PBE) on crystalline Nd4Sm3Dy5 at its relaxed geometry.

Lattice parameters (Å, degrees): 8.6279 8.6279 9.4013 114.48 114.48 40.59
Element x y z (fractional)
Nd: 0.0837 0.0837 0.4444
Nd: 0.2124 0.2124 0.8813
Nd: 0.7876 0.7876 0.1187
Nd: 0.9163 0.9163 0.5556
Sm: 0.2098 0.2098 0.2325
Sm: 0.5000 0.5000 0.0000
Sm: 0.7902 0.7902 0.7675
Dy: 0.0000 0.0000 0.0000
Dy: 0.3281 0.3281 0.6126
Dy: 0.4282 0.4282 0.3017
Dy: 0.5718 0.5718 0.6983
Dy: 0.6719 0.6719 0.3874

density of states at the Fermi level = 1.609 states/eV/atom
V = 34.043 Å³ per atom
magnetization = 0.3 μB per cell
total energy = -4.469 eV per atom
offset from the most stable computed form = 203 meV/atom
SG = C2/m (12)
energy of formation = 5.0 kcal/mol of atoms

---

# 7
VASP calculation (GGA-PBE) on crystalline KFeIr2 at its relaxed geometry.

Lattice parameters (Å, degrees): 5.6526 9.7134 2.6630 90.00 114.08 90.00
Element x y z (fractional)
K: 0.0000 0.0000 0.0000
K: 0.5000 0.5000 0.0000
Fe: 0.0000 0.5000 0.0000
Fe: 0.5000 0.0000 0.0000
Ir: 0.2500 0.2500 0.5000
Ir: 0.2500 0.7500 0.5000
Ir: 0.7500 0.2500 0.5000
Ir: 0.7500 0.7500 0.5000

density of states at the Fermi level = 1.020 states/eV/atom
V = 16.686 Å³ per atom
magnetization = 7.8 μB per cell
total energy = -5.866 eV per atom
offset from the most stable computed form = 514 meV/atom
SG = C2/m (12)
energy of formation = 22.0 kcal/mol of atoms

---

# 8
VASP calculation (GGA-PBE) on crystalline TbTm2Hg9 at its relaxed geometry.

Lattice parameters (Å, degrees): 4.6945 4.6945 13.1591 90.00 90.00 90.00
Element x y z (fractional)
Tb: 0.0000 0.0000 0.0000
Tm: 0.0000 0.0000 0.3362
Tm: 0.0000 0.0000 0.6638
Hg: 0.0000 0.5000 0.1696
Hg: 0.0000 0.5000 0.5000
Hg: 0.0000 0.5000 0.8304
Hg: 0.5000 0.0000 0.1696
Hg: 0.5000 0.0000 0.5000
Hg: 0.5000 0.0000 0.8304
Hg: 0.5000 0.5000 0.0000
Hg: 0.5000 0.5000 0.3354
Hg: 0.5000 0.5000 0.6646

density of states at the Fermi level = 0.663 states/eV/atom
V = 24.167 Å³ per atom
magnetization = 0.0 μB per cell
total energy = -1.652 eV per atom
SG = P4/mmm (123)
energy of formation = -6.8 kcal/mol of atoms

---

# 9
VASP calculation (GGA-PBE) on crystalline SrAcHoIn at its relaxed geometry.

Lattice parameters (Å, degrees): 8.2579 8.2579 8.2579 90.00 90.00 90.00
Element x y z (fractional)
Sr: 0.0000 0.0000 0.0000
Sr: 0.0000 0.5000 0.5000
Sr: 0.5000 0.0000 0.5000
Sr: 0.5000 0.5000 0.0000
Ac: 0.2500 0.2500 0.7500
Ac: 0.2500 0.7500 0.2500
Ac: 0.7500 0.2500 0.2500
Ac: 0.7500 0.7500 0.7500
Ho: 0.0000 0.0000 0.5000
Ho: 0.0000 0.5000 0.0000
Ho: 0.5000 0.0000 0.0000
Ho: 0.5000 0.5000 0.5000
In: 0.2500 0.2500 0.2500
In: 0.2500 0.7500 0.7500
In: 0.7500 0.2500 0.7500
In: 0.7500 0.7500 0.2500

density of states at the Fermi level = 1.547 states/eV/atom
V = 35.196 Å³ per atom
magnetization = 1.3 μB per cell
total energy = -3.221 eV per atom
SG = F-43m (216)
energy of formation = 1.3 kcal/mol of atoms

---

# 10
VASP calculation (GGA-PBE) on crystalline InSI2N at its relaxed geometry.

Lattice parameters (Å, degrees): 7.1498 7.1498 3.3091 90.00 90.00 90.00
Element x y z (fractional)
In: 0.0000 0.0000 0.0000
S: 0.5000 0.5000 0.5000
I: 0.0000 0.5000 0.5000
I: 0.5000 0.0000 0.5000
N: 0.5000 0.5000 0.0000

E_form (uncorrected) = 249 kJ/mol of formula units
density of states at the Fermi level = 0.772 states/eV/atom
V = 33.832 Å³ per atom
magnetization = 0.0 μB per cell
total energy = -3.142 eV per atom
offset from the most stable computed form = 0 meV/atom
SG = P4/mmm (123)

---

# 11
VASP calculation (GGA-PBE) on crystalline Fe3Re at its relaxed geometry.

Lattice parameters (Å, degrees): 4.5323 4.5323 4.5323 90.00 90.00 90.00
Element x y z (fractional)
Fe: 0.0000 0.0000 0.5000
Fe: 0.0000 0.5000 0.0000
Fe: 0.5000 0.0000 0.0000
Re: 0.0000 0.0000 0.0000

density of states at the Fermi level = 1.186 states/eV/atom
V = 23.276 Å³ per atom
magnetization = 5.2 μB per cell
total energy = -7.365 eV per atom
SG = Pm-3m (221)
energy of formation = 48.3 kcal/mol of atoms

---

# 12
VASP calculation (GGA-PBE) on crystalline TbSm3Er3S8 at its relaxed geometry.

Lattice parameters (Å, degrees): 7.8857 7.8857 7.8857 59.56 59.56 59.56
Element x y z (fractional)
Tb: 0.0000 0.0000 0.0000
Sm: 0.0000 0.0000 0.5000
Sm: 0.0000 0.5000 0.0000
Sm: 0.5000 0.0000 0.0000
Er: 0.0000 0.5000 0.5000
Er: 0.5000 0.0000 0.5000
Er: 0.5000 0.5000 0.0000
S: 0.2503 0.2503 0.7409
S: 0.2503 0.7409 0.2503
S: 0.2543 0.2543 0.2543
S: 0.2591 0.7497 0.7497
S: 0.7409 0.2503 0.2503
S: 0.7457 0.7457 0.7457
S: 0.7497 0.2591 0.7497
S: 0.7497 0.7497 0.2591

E_form (uncorrected) = -2960 kJ/mol of formula units
density of states at the Fermi level = 0.435 states/eV/atom
V = 22.883 Å³ per atom
magnetization = 0.0 μB per cell
total energy = -6.412 eV per atom
SG = R-3m (166)